(1)
CsCrSb2: optimized geometry, GGA-PBE.

Properties
D(E_F) (states/eV/atom): 0.81
Space group: Fm-3m, No. 225
Offset from the most stable computed form (eV/f.u.): 2.41
Final energy (eV/cell): -16.42
Formation energy from raw total energies (eV/f.u.): 2.3

abc: 5.5487 5.5487 5.5487
angles: 60.00 60.00 60.00
Last column: nearest neighbours and their distance in Å.
Fractional coordinates of all 4 atoms:
Cr1 0.0000 0.0000 0.0000  8 Sb 3.40
Cs1 0.5000 0.5000 0.5000  8 Sb 3.40
Sb1 0.7500 0.7500 0.7500  4 Cr 3.40, 4 Cs 3.40
Sb2 0.2500 0.2500 0.2500  4 Cr 3.40, 4 Cs 3.40

(2)
MnCu12Pd6: optimized geometry, GGA-PBE.

Properties
D(E_F) (states/eV/atom): 0.40
Space group: R-3m, No. 166
E_form (eV/atom): 0.201
Final energy (eV/cell): -85.66

abc: 6.9485 6.9485 6.9485
angles: 106.46 106.46 106.46
Last column: nearest neighbours and their distance in Å.
Fractional coordinates of all 19 atoms:
Pd1 0.7048 0.3061 0.3061  8 Cu 2.53-2.67, 2 Pd 2.74
Pd2 0.3061 0.7048 0.3061  8 Cu 2.53-2.67, 2 Pd 2.74
Cu1 0.6628 0.8947 0.6628  1 Mn 2.54, 4 Cu 2.58, 4 Pd 2.62-2.67
Cu2 0.8947 0.6628 0.6628  1 Mn 2.54, 4 Cu 2.58, 4 Pd 2.62-2.67
Cu3 0.3372 0.1053 0.3372  1 Mn 2.54, 4 Cu 2.58, 4 Pd 2.62-2.67
Cu4 0.1053 0.3372 0.3372  1 Mn 2.54, 4 Cu 2.58, 4 Pd 2.62-2.67
Pd3 0.6939 0.2952 0.6939  8 Cu 2.53-2.67, 2 Pd 2.74
Pd4 0.3061 0.3061 0.7048  8 Cu 2.53-2.67, 2 Pd 2.74
Pd5 0.6939 0.6939 0.2952  8 Cu 2.53-2.67, 2 Pd 2.74
Cu5 0.3372 0.3372 0.1053  1 Mn 2.54, 4 Cu 2.58, 4 Pd 2.62-2.67
Cu6 0.5000 0.1090 0.8910  3 Cu 2.43-2.58, 4 Pd 2.53-2.56
Cu7 0.6628 0.6628 0.8947  1 Mn 2.54, 4 Cu 2.58, 4 Pd 2.62-2.67
Cu8 0.1090 0.5000 0.8910  3 Cu 2.43-2.58, 4 Pd 2.53-2.56
Pd6 0.2952 0.6939 0.6939  8 Cu 2.53-2.67, 2 Pd 2.74
Cu9 0.5000 0.8910 0.1090  3 Cu 2.43-2.58, 4 Pd 2.53-2.56
Cu10 0.8910 0.5000 0.1090  3 Cu 2.43-2.58, 4 Pd 2.53-2.56
Cu11 0.8910 0.1090 0.5000  3 Cu 2.43-2.58, 4 Pd 2.53-2.56
Cu12 0.1090 0.8910 0.5000  3 Cu 2.43-2.58, 4 Pd 2.53-2.56
Mn1 0.0000 0.0000 0.0000  6 Cu 2.54